Record 1
A plane-wave DFT calculation with PBE was carried out for an optimized crystal structure of K2SrZr.

Cell: 7.824 7.824 3.548 Å, 90.00 90.00 124.44°
Fractional coordinates of all 4 atoms:
K  0.000  0.500  0.000
K  0.500  0.000  0.000
Sr  0.000  0.000  0.500
Zr  0.500  0.500  0.500

Properties
DFT total energy, eV per atom: -2.3087
Crystal system: orthorhombic
Calculated density, Mg/m³: 2.38
Fermi-level density of states, states/eV/f.u.: 5.90
Symmetry: Cmmm

---

Record 2
A plane-wave DFT calculation with PBE was carried out for an optimized crystal structure of KSr2Zr.

Cell: 6.725 6.725 3.854 Å, 90.11 90.11 101.80°
Fractional coordinates of all 4 atoms:
K  0.000  0.000  0.000
Sr  0.000  0.500  0.500
Sr  0.500  0.000  0.500
Zr  0.500  0.500  0.000

Properties
DFT total energy, eV per atom: -2.6238
Crystal system: monoclinic
Calculated density, Mg/m³: 2.97
Fermi-level density of states, states/eV/f.u.: 5.94
Symmetry: C2/m

---

Record 3
A plane-wave DFT calculation with PBE was carried out for an optimized crystal structure of KSr2Zr.

Cell: 6.577 6.577 3.914 Å, 90.00 90.00 90.00°
Fractional coordinates of all 4 atoms:
K  0.000  0.000  0.000
Sr  0.000  0.500  0.500
Sr  0.500  0.000  0.500
Zr  0.500  0.500  0.000

Properties
DFT total energy, eV per atom: -2.6228
Crystal system: tetragonal
Calculated density, Mg/m³: 3.00
Fermi-level density of states, states/eV/f.u.: 6.26
Symmetry: P4/mmm

---

Number 1: offset from the most stable computed form 22.65 kJ/mol of atoms. Number 2: offset from the most stable computed form 20.28 kJ/mol of atoms. Number 3: offset from the most stable computed form 20.38 kJ/mol of atoms.